Below is crystalline Li4TbPd5 at its relaxed geometry, with properties calculated at the GGA-PBE level.

Cell: 3.184 3.184 15.170 Å, 90.00 90.00 90.00°
Positions (direct):
Li: 0.000 0.000 0.223
Li: 0.000 0.000 0.408
Li: 0.000 0.000 0.592
Li: 0.000 0.000 0.777
Tb: 0.000 0.000 0.000
Pd: 0.500 0.500 0.124
Pd: 0.500 0.500 0.313
Pd: 0.500 0.500 0.500
Pd: 0.500 0.500 0.687
Pd: 0.500 0.500 0.876

M_tot   0.00 μB/f.u.
ρ   7.759 g/cm3
Formation enthalpy at 0 K   -475 kJ/mol of formula units
VASP energy   -4.318 eV per atom
Symmetry   No. 123

Below is crystalline PrMg2In at its relaxed geometry, with properties calculated at the GGA-PBE level.

Cell: 5.279 5.268 5.268 Å, 89.78 120.27 120.28°
Positions (direct):
Pr: 0.125 0.312 0.438
Mg: 0.125 0.813 0.937
Mg: 0.625 0.064 0.686
In: 0.625 0.561 0.189

Offset from the most stable computed form   0.032 eV per atom
M_tot   0.00 μB/f.u.
ρ   4.910 g/cm3
Formation enthalpy at 0 K   -98 kJ/mol of formula units
VASP energy   -2.930 eV per atom
Symmetry   No. 5

Below is crystalline OsPtSe2 at its relaxed geometry, with properties calculated at the GGA-PBE level.

Cell: 4.571 4.571 4.571 Å, 60.00 60.00 60.00°
Positions (direct):
Os: 0.500 0.500 0.500
Pt: 0.250 0.250 0.250
Se: 0.000 0.000 0.000
Se: 0.750 0.750 0.750

Offset from the most stable computed form   0.746 eV per atom
M_tot   0.00 μB/f.u.
ρ   13.354 g/cm3
VASP energy   -5.148 eV per atom
Symmetry   No. 216

Below is crystalline CoAgRh2C at its relaxed geometry, with properties calculated at the GGA-PBE level.

Cell: 4.086 4.086 3.899 Å, 90.00 90.00 90.00°
Positions (direct):
Co: 0.000 0.000 0.500
C: 0.000 0.000 0.000
Rh: 0.000 0.500 0.000
Rh: 0.500 0.000 0.000
Ag: 0.500 0.500 0.500

M_tot   1.82 μB/f.u.
ρ   9.809 g/cm3
Formation enthalpy at 0 K   113 kJ/mol of formula units
VASP energy   -6.542 eV per atom
Symmetry   No. 123

Below is crystalline KCd2Pb5 at its relaxed geometry, with properties calculated at the GGA-PBE level.

Cell: 4.559 8.074 8.074 Å, 71.14 73.60 73.60°
Positions (direct):
K: 0.000 0.000 0.000
Cd: 0.735 0.765 0.765
Cd: 0.265 0.235 0.235
Pb: 0.000 0.500 0.500
Pb: 0.646 0.548 0.160
Pb: 0.354 0.452 0.840
Pb: 0.354 0.840 0.452
Pb: 0.646 0.160 0.548

M_tot   0.00 μB/f.u.
ρ   8.184 g/cm3
Formation enthalpy at 0 K   -24 kJ/mol of formula units
VASP energy   -2.714 eV per atom
Symmetry   No. 71

Below is crystalline CsIn2Pd2 at its relaxed geometry, with properties calculated at the GGA-PBE level.

Cell: 4.938 4.938 6.700 Å, 68.38 68.38 90.00°
Positions (direct):
Cs: 0.000 0.000 0.000
Pd: 0.750 0.250 0.500
Pd: 0.250 0.750 0.500
In: 0.352 0.352 0.297
In: 0.648 0.648 0.703

Offset from the most stable computed form   0.000 eV per atom
M_tot   0.00 μB/f.u.
ρ   6.853 g/cm3
Formation enthalpy at 0 K   -113 kJ/mol of formula units
VASP energy   -3.577 eV per atom
Symmetry   No. 139

Below is crystalline LaSn3Ru at its relaxed geometry, with properties calculated at the GGA-PBE level.

Cell: 9.877 9.877 9.877 Å, 90.00 90.00 90.00°
Positions (direct):
Ru: 0.750 0.250 0.250
Ru: 0.250 0.250 0.750
Ru: 0.250 0.750 0.250
Ru: 0.750 0.750 0.750
Ru: 0.250 0.750 0.750
Ru: 0.750 0.750 0.250
Ru: 0.750 0.250 0.750
Ru: 0.250 0.250 0.250
Sn: 0.000 0.316 0.843
Sn: 0.000 0.684 0.157
Sn: 0.816 0.500 0.343
Sn: 0.184 0.500 0.343
Sn: 0.657 0.184 0.500
Sn: 0.343 0.184 0.500
Sn: 0.500 0.657 0.816
Sn: 0.500 0.343 0.184
Sn: 0.000 0.316 0.157
Sn: 0.500 0.343 0.816
Sn: 0.500 0.657 0.184
Sn: 0.657 0.816 0.500
Sn: 0.343 0.816 0.500
Sn: 0.184 0.500 0.657
Sn: 0.816 0.500 0.657
Sn: 0.157 0.000 0.316
Sn: 0.316 0.157 0.000
Sn: 0.684 0.843 0.000
Sn: 0.157 0.000 0.684
Sn: 0.684 0.157 0.000
Sn: 0.843 0.000 0.316
Sn: 0.843 0.000 0.684
Sn: 0.316 0.843 0.000
Sn: 0.000 0.684 0.843
La: 0.000 0.250 0.500
La: 0.000 0.750 0.500
La: 0.500 0.000 0.750
La: 0.500 0.000 0.250
La: 0.750 0.500 0.000
La: 0.250 0.500 0.000
La: 0.500 0.500 0.500
La: 0.000 0.000 0.000

M_tot   0.00 μB/f.u.
ρ   8.219 g/cm3
Formation enthalpy at 0 K   -263 kJ/mol of formula units
VASP energy   -5.788 eV per atom
Symmetry   No. 223

Below is crystalline InNi at its relaxed geometry, with properties calculated at the GGA-PBE level.

Cell: 3.191 3.191 6.631 Å, 90.00 90.00 90.00°
Positions (direct):
In: 0.250 0.250 0.189
In: 0.750 0.750 0.811
Ni: 0.250 0.250 0.599
Ni: 0.750 0.750 0.401

M_tot   0.00 μB/f.u.
ρ   8.533 g/cm3
Formation enthalpy at 0 K   11 kJ/mol of formula units
VASP energy   -4.205 eV per atom
Symmetry   No. 129

Below is crystalline LiHoPaGa at its relaxed geometry, with properties calculated at the GGA-PBE level.

Cell: 5.014 5.014 5.014 Å, 60.00 60.00 60.00°
Positions (direct):
Pa: 0.250 0.250 0.250
Ho: 0.750 0.750 0.750
Ga: 0.500 0.500 0.500
Li: 0.000 0.000 0.000

M_tot   0.00 μB/f.u.
ρ   8.804 g/cm3
Formation enthalpy at 0 K   10 kJ/mol of formula units
VASP energy   -4.727 eV per atom
Symmetry   No. 216

Below is crystalline HoSeClO4 at its relaxed geometry, with properties calculated at the GGA-PBE level.

Cell: 6.122 6.122 6.657 Å, 78.15 78.15 71.09°
Positions (direct):
Ho: 0.222 0.222 0.876
Ho: 0.778 0.778 0.124
Se: 0.637 0.637 0.729
Se: 0.363 0.363 0.271
Cl: 0.019 0.019 0.233
Cl: 0.981 0.981 0.767
O: 0.275 0.275 0.515
O: 0.725 0.725 0.485
O: 0.132 0.489 0.139
O: 0.531 0.531 0.243
O: 0.511 0.868 0.861
O: 0.489 0.132 0.139
O: 0.469 0.469 0.757
O: 0.868 0.511 0.861

M_tot   0.00 μB/f.u.
ρ   4.993 g/cm3
VASP energy   -5.951 eV per atom
Symmetry   No. 12

Below is crystalline K2Mn2SnS6 at its relaxed geometry, with properties calculated at the GGA-PBE level.

Cell: 6.296 6.296 7.604 Å, 97.22 97.22 120.65°
Positions (direct):
K: 0.840 0.160 0.000
K: 0.160 0.840 0.000
Mn: 0.333 0.667 0.500
Mn: 0.667 0.333 0.500
Sn: 0.000 0.000 0.500
S: 0.686 0.686 0.676
S: 0.052 0.419 0.673
S: 0.314 0.314 0.324
S: 0.419 0.052 0.673
S: 0.948 0.581 0.327
S: 0.581 0.948 0.327

M_tot   3.92 μB/f.u.
ρ   3.305 g/cm3
VASP energy   -5.205 eV per atom
Symmetry   No. 12

Below is crystalline CaMnP2S at its relaxed geometry, with properties calculated at the GGA-PBE level.

Cell: 4.228 4.228 5.479 Å, 90.00 90.00 90.00°
Positions (direct):
P: 0.000 0.500 0.000
P: 0.500 0.000 0.000
Ca: 0.500 0.500 0.500
Mn: 0.000 0.000 0.000
S: 0.000 0.000 0.500

Offset from the most stable computed form   0.000 eV per atom
M_tot   0.00 μB/f.u.
ρ   3.206 g/cm3
VASP energy   -5.627 eV per atom
Symmetry   No. 123